Here is a geometry-optimized YReNi2 structure from Alexandria via LeMat-Bulk. Energies are from GGA-PBE.

```
YReNi2
1.0
8.9751 -0.0216 -0.0127
8.5216 2.8169 -0.0127
8.5216 1.3614 2.4661
Re Ni Y
1 2 1
Direct
0.7500 0.7500 0.7500
0.0090 0.0090 0.0090
0.4910 0.4910 0.4910
0.2500 0.2500 0.2500
```

Output
ρ in g/cm³: 10.33
Symmetry: R-3m (166)
D(E_F) in states/eV/f.u.: 5.46
Energy relative to the lowest polymorph listed for this composition in meV/atom: 564
ΔH_f (0 K) in eV per formula unit: 1.90